No. 1
# NaS5O

A relaxed NaS5O crystal (PBE, the Alexandria database). Values from VASP.

Results
E_form (uncorrected) ... -368 meV per atom
Calculated total energy ... -59.0 eV per cell

Quantum ESPRESSO input file:
```
&SYSTEM
  ibrav = 0, nat = 14, ntyp = 3
/
ATOMIC_SPECIES
Na 22.99 Na.upf
S 32.06 S.upf
O 16.00 O.upf
CELL_PARAMETERS angstrom
5.457 0.000 0.000
1.802 7.472 0.000
2.584 2.706 9.246
ATOMIC_POSITIONS crystal
Na 0.000 0.000 0.000
Na 0.500 0.500 0.000
S 0.035 0.707 0.632
S 0.168 0.415 0.824
S 0.333 0.234 0.285
S 0.366 0.255 0.703
S 0.408 0.087 0.139
S 0.592 0.913 0.861
S 0.634 0.745 0.297
S 0.667 0.766 0.715
S 0.832 0.585 0.176
S 0.965 0.293 0.368
O 0.088 0.645 0.092
O 0.912 0.355 0.908
```

---

No. 2
# SrTa2Re

A relaxed SrTa2Re crystal (PBE, the Alexandria database). Values from VASP.

Results
Energy relative to the lowest polymorph listed for this composition ... 0.000 eV/f.u.
Calculated total energy ... -35.9 eV per cell

Quantum ESPRESSO input file:
```
&SYSTEM
  ibrav = 0, nat = 4, ntyp = 3
/
ATOMIC_SPECIES
Sr 87.62 Sr.upf
Ta 180.95 Ta.upf
Re 186.21 Re.upf
CELL_PARAMETERS angstrom
3.194 0.000 0.000
0.000 3.194 0.000
0.000 0.000 8.685
ATOMIC_POSITIONS crystal
Sr 0.000 0.000 0.000
Ta 0.500 0.500 0.323
Ta 0.500 0.500 0.677
Re 0.000 0.000 0.500
```

---

No. 3
# Te2OsRuI

A relaxed Te2OsRuI crystal (PBE, the Alexandria database). Values from VASP.

Results
Energy relative to the lowest polymorph listed for this composition ... 0.000 eV/f.u.
E_form (uncorrected) ... 1419 meV per atom
Calculated total energy ... -21.2 eV per cell

Quantum ESPRESSO input file:
```
&SYSTEM
  ibrav = 0, nat = 5, ntyp = 4
/
ATOMIC_SPECIES
Te 127.60 Te.upf
Os 190.23 Os.upf
Ru 101.07 Ru.upf
I 126.90 I.upf
CELL_PARAMETERS angstrom
5.119 0.000 0.000
0.000 5.119 0.000
0.000 0.000 5.586
ATOMIC_POSITIONS crystal
Te 0.000 0.500 0.000
Te 0.500 0.000 0.000
Os 0.000 0.000 0.000
Ru 0.500 0.500 0.500
I 0.000 0.000 0.500
```

---

No. 4
# Y2SbW2

A relaxed Y2SbW2 crystal (PBE, the Alexandria database). Values from VASP.

Results
E_form (uncorrected) ... 101 meV per atom
Calculated total energy ... -42.5 eV per cell

Quantum ESPRESSO input file:
```
&SYSTEM
  ibrav = 0, nat = 5, ntyp = 3
/
ATOMIC_SPECIES
Y 88.91 Y.upf
Sb 121.76 Sb.upf
W 183.84 W.upf
CELL_PARAMETERS angstrom
-1.844 1.844 9.155
1.844 -1.844 9.155
1.844 1.844 -9.155
ATOMIC_POSITIONS crystal
Y 0.110 0.110 0.000
Y 0.890 0.890 0.000
Sb 0.500 0.500 0.000
W 0.250 0.750 0.500
W 0.750 0.250 0.500
```

---

No. 5
# Pa3GeP2

A relaxed Pa3GeP2 crystal (PBE, the Alexandria database). Values from VASP.

Results
Calculated total energy ... -50.1 eV per cell

Quantum ESPRESSO input file:
```
&SYSTEM
  ibrav = 0, nat = 6, ntyp = 3
/
ATOMIC_SPECIES
Pa 231.04 Pa.upf
Ge 72.64 Ge.upf
P 30.97 P.upf
CELL_PARAMETERS angstrom
-2.008 2.848 6.042
2.008 -2.848 6.042
2.008 2.848 -6.042
ATOMIC_POSITIONS crystal
Pa 0.000 0.000 0.000
Pa 0.327 0.327 0.000
Pa 0.673 0.673 0.000
Ge 0.500 0.000 0.500
P 0.164 0.664 0.500
P 0.836 0.336 0.500
```

---

No. 6
# AlNiP2

A relaxed AlNiP2 crystal (PBE, the Alexandria database). Values from VASP.

Results
Calculated total energy ... -19.9 eV per cell

Quantum ESPRESSO input file:
```
&SYSTEM
  ibrav = 0, nat = 4, ntyp = 3
/
ATOMIC_SPECIES
Al 26.98 Al.upf
Ni 58.69 Ni.upf
P 30.97 P.upf
CELL_PARAMETERS angstrom
-1.684 2.417 3.469
1.684 -2.417 3.469
1.684 2.417 -3.469
ATOMIC_POSITIONS crystal
Al 0.000 0.000 0.000
Ni 0.500 0.500 0.000
P 0.265 0.765 0.500
P 0.735 0.235 0.500
```

---

No. 7
# TlInW2

A relaxed TlInW2 crystal (PBE, the Alexandria database). Values from VASP.

Results
Energy relative to the lowest polymorph listed for this composition ... 0.208 eV/f.u.
Calculated total energy ... -28.7 eV per cell

Quantum ESPRESSO input file:
```
&SYSTEM
  ibrav = 0, nat = 4, ntyp = 3
/
ATOMIC_SPECIES
Tl 204.38 Tl.upf
In 114.82 In.upf
W 183.84 W.upf
CELL_PARAMETERS angstrom
1.639 -2.480 0.000
1.639 2.480 0.000
0.000 0.000 10.379
ATOMIC_POSITIONS crystal
Tl 0.000 0.000 0.000
In 0.500 0.500 0.308
W 0.000 0.000 0.551
W 0.500 0.500 0.740
```

---

No. 8
# PmLuCo2

A relaxed PmLuCo2 crystal (PBE, the Alexandria database). Values from VASP.

Results
Energy relative to the lowest polymorph listed for this composition ... 0.013 eV/f.u.
Calculated total energy ... -23.9 eV per cell

Quantum ESPRESSO input file:
```
&SYSTEM
  ibrav = 0, nat = 4, ntyp = 3
/
ATOMIC_SPECIES
Pm 145.00 Pm.upf
Lu 174.97 Lu.upf
Co 58.93 Co.upf
CELL_PARAMETERS angstrom
0.000 3.349 3.349
3.349 0.000 3.349
3.349 3.349 0.000
ATOMIC_POSITIONS crystal
Pm 0.000 0.000 0.000
Lu 0.500 0.500 0.500
Co 0.250 0.250 0.250
Co 0.750 0.750 0.750
```

---

No. 9
# Pr4ErTe7

A relaxed Pr4ErTe7 crystal (PBE, the Alexandria database). Values from VASP.

Results
E_form (uncorrected) ... -1429 meV per atom
Calculated total energy ... -62.8 eV per cell

Quantum ESPRESSO input file:
```
&SYSTEM
  ibrav = 0, nat = 12, ntyp = 3
/
ATOMIC_SPECIES
Pr 140.91 Pr.upf
Er 167.26 Er.upf
Te 127.60 Te.upf
CELL_PARAMETERS angstrom
7.360 -2.183 0.000
7.360 2.183 0.000
-3.425 0.000 13.030
ATOMIC_POSITIONS crystal
Pr 0.000 0.000 0.000
Pr 0.187 0.187 0.765
Pr 0.586 0.586 0.380
Pr 0.886 0.886 0.569
Er 0.771 0.771 0.148
Te 0.154 0.154 0.222
Te 0.223 0.223 0.524
Te 0.380 0.380 0.076
Te 0.548 0.548 0.621
Te 0.631 0.631 0.929
Te 0.850 0.850 0.789
Te 0.921 0.921 0.349
```

---

No. 10
# Ac8Co2Au3

A relaxed Ac8Co2Au3 crystal (PBE, the Alexandria database). Values from VASP.

Results
Calculated total energy ... -61.4 eV per cell

Quantum ESPRESSO input file:
```
&SYSTEM
  ibrav = 0, nat = 13, ntyp = 3
/
ATOMIC_SPECIES
Ac 227.00 Ac.upf
Co 58.93 Co.upf
Au 196.97 Au.upf
CELL_PARAMETERS angstrom
7.935 -4.299 0.000
7.935 4.299 0.000
-2.323 0.000 6.904
ATOMIC_POSITIONS crystal
Ac 0.113 0.606 0.231
Ac 0.137 0.137 0.237
Ac 0.362 0.362 0.751
Ac 0.394 0.887 0.769
Ac 0.606 0.113 0.231
Ac 0.638 0.638 0.249
Ac 0.863 0.863 0.763
Ac 0.887 0.394 0.769
Co 0.249 0.249 0.000
Co 0.751 0.751 0.000
Au 0.250 0.750 0.000
Au 0.500 0.500 0.500
Au 0.750 0.250 0.000
```

---

No. 11
# BaCuPb2

A relaxed BaCuPb2 crystal (PBE, the Alexandria database). Values from VASP.

Results
Calculated total energy ... -13.4 eV per cell

Quantum ESPRESSO input file:
```
&SYSTEM
  ibrav = 0, nat = 4, ntyp = 3
/
ATOMIC_SPECIES
Ba 137.33 Ba.upf
Cu 63.55 Cu.upf
Pb 207.20 Pb.upf
CELL_PARAMETERS angstrom
4.888 0.000 0.000
0.000 4.888 0.000
0.000 0.000 5.110
ATOMIC_POSITIONS crystal
Ba 0.000 0.000 0.000
Cu 0.500 0.500 0.000
Pb 0.000 0.500 0.500
Pb 0.500 0.000 0.500
```

---

No. 12
# PaMnFeRh

A relaxed PaMnFeRh crystal (PBE, the Alexandria database). Values from VASP.

Results
Calculated total energy ... -35.1 eV per cell

Quantum ESPRESSO input file:
```
&SYSTEM
  ibrav = 0, nat = 4, ntyp = 4
/
ATOMIC_SPECIES
Pa 231.04 Pa.upf
Mn 54.94 Mn.upf
Fe 55.84 Fe.upf
Rh 102.91 Rh.upf
CELL_PARAMETERS angstrom
0.000 3.206 3.206
3.206 0.000 3.206
3.206 3.206 0.000
ATOMIC_POSITIONS crystal
Pa 0.000 0.000 0.000
Mn 0.500 0.500 0.500
Fe 0.750 0.750 0.750
Rh 0.250 0.250 0.250
```

---

No. 13
# Tb3VB7

A relaxed Tb3VB7 crystal (PBE, the Alexandria database). Values from VASP.

Results
Calculated total energy ... -152.6 eV per cell

Quantum ESPRESSO input file:
```
&SYSTEM
  ibrav = 0, nat = 22, ntyp = 3
/
ATOMIC_SPECIES
Tb 158.93 Tb.upf
V 50.94 V.upf
B 10.81 B.upf
CELL_PARAMETERS angstrom
1.725 -8.005 0.000
1.725 8.005 0.000
0.000 0.000 9.453
ATOMIC_POSITIONS crystal
Tb 0.106 0.894 0.560
Tb 0.106 0.894 0.940
Tb 0.243 0.757 0.250
Tb 0.757 0.243 0.750
Tb 0.894 0.106 0.060
Tb 0.894 0.106 0.440
V 0.054 0.946 0.250
V 0.946 0.054 0.750
B 0.273 0.727 0.532
B 0.273 0.727 0.968
B 0.368 0.632 0.649
B 0.368 0.632 0.851
B 0.460 0.540 0.250
B 0.478 0.522 0.595
B 0.478 0.522 0.905
B 0.522 0.478 0.095
B 0.522 0.478 0.405
B 0.540 0.460 0.750
B 0.632 0.368 0.149
B 0.632 0.368 0.351
B 0.727 0.273 0.032
B 0.727 0.273 0.468
```

---

No. 14
# Ac4Hg5Pd6

A relaxed Ac4Hg5Pd6 crystal (PBE, the Alexandria database). Values from VASP.

Results
Calculated total energy ... -115.7 eV per cell

Quantum ESPRESSO input file:
```
&SYSTEM
  ibrav = 0, nat = 30, ntyp = 3
/
ATOMIC_SPECIES
Ac 227.00 Ac.upf
Hg 200.59 Hg.upf
Pd 106.42 Pd.upf
CELL_PARAMETERS angstrom
2.122 -11.263 0.000
2.122 11.263 0.000
0.000 0.000 15.716
ATOMIC_POSITIONS crystal
Ac 0.025 0.975 0.500
Ac 0.065 0.935 0.763
Ac 0.126 0.874 0.272
Ac 0.184 0.816 0.944
Ac 0.816 0.184 0.444
Ac 0.874 0.126 0.772
Ac 0.935 0.065 0.263
Ac 0.975 0.025 0.000
Hg 0.182 0.818 0.591
Hg 0.309 0.691 0.258
Hg 0.313 0.687 0.618
Hg 0.358 0.642 0.945
Hg 0.471 0.529 0.657
Hg 0.529 0.471 0.157
Hg 0.642 0.358 0.445
Hg 0.687 0.313 0.118
Hg 0.691 0.309 0.758
Hg 0.818 0.182 0.091
Pd 0.098 0.902 0.084
Pd 0.224 0.776 0.417
Pd 0.273 0.727 0.792
Pd 0.403 0.597 0.122
Pd 0.421 0.579 0.451
Pd 0.474 0.526 0.846
Pd 0.526 0.474 0.346
Pd 0.579 0.421 0.951
Pd 0.597 0.403 0.622
Pd 0.727 0.273 0.292
Pd 0.776 0.224 0.917
Pd 0.902 0.098 0.584
```

---

No. 15
# CsZrCd2Re

A relaxed CsZrCd2Re crystal (PBE, the Alexandria database). Values from VASP.

Results
Calculated total energy ... -20.8 eV per cell

Quantum ESPRESSO input file:
```
&SYSTEM
  ibrav = 0, nat = 5, ntyp = 4
/
ATOMIC_SPECIES
Cs 132.91 Cs.upf
Zr 91.22 Zr.upf
Cd 112.41 Cd.upf
Re 186.21 Re.upf
CELL_PARAMETERS angstrom
5.609 0.000 0.000
0.000 5.609 0.000
0.000 0.000 4.893
ATOMIC_POSITIONS crystal
Cs 0.000 0.000 0.000
Zr 0.500 0.500 0.000
Cd 0.000 0.500 0.500
Cd 0.500 0.000 0.500
Re 0.500 0.500 0.500
```

---

No. 16
# Pu3InS

A relaxed Pu3InS crystal (PBE, the Alexandria database). Values from VASP.

Results
E_form (uncorrected) ... -393 meV per atom
Calculated total energy ... -51.8 eV per cell

Quantum ESPRESSO input file:
```
&SYSTEM
  ibrav = 0, nat = 5, ntyp = 3
/
ATOMIC_SPECIES
Pu 244.00 Pu.upf
In 114.82 In.upf
S 32.06 S.upf
CELL_PARAMETERS angstrom
5.256 0.000 0.000
0.000 5.256 0.000
0.000 0.000 5.256
ATOMIC_POSITIONS crystal
Pu 0.000 0.000 0.500
Pu 0.000 0.500 0.000
Pu 0.500 0.000 0.000
In 0.500 0.500 0.500
S 0.000 0.000 0.000
```

---

No. 17
# FeB3N

A relaxed FeB3N crystal (PBE, the Alexandria database). Values from VASP.

Results
Energy relative to the lowest polymorph listed for this composition ... 1.996 eV/f.u.
E_form (uncorrected) ... 1888 meV per atom
Calculated total energy ... -27.4 eV per cell

Quantum ESPRESSO input file:
```
&SYSTEM
  ibrav = 0, nat = 5, ntyp = 3
/
ATOMIC_SPECIES
Fe 55.84 Fe.upf
B 10.81 B.upf
N 14.01 N.upf
CELL_PARAMETERS angstrom
3.786 0.000 0.000
0.000 3.786 0.000
0.000 0.000 3.786
ATOMIC_POSITIONS crystal
Fe 0.000 0.000 0.000
B 0.000 0.000 0.500
B 0.000 0.500 0.000
B 0.500 0.000 0.000
N 0.500 0.500 0.500
```

---

No. 18
# CaZr2Co

A relaxed CaZr2Co crystal (PBE, the Alexandria database). Values from VASP.

Results
Energy relative to the lowest polymorph listed for this composition ... 1.939 eV/f.u.
Calculated total energy ... -24.1 eV per cell

Quantum ESPRESSO input file:
```
&SYSTEM
  ibrav = 0, nat = 4, ntyp = 3
/
ATOMIC_SPECIES
Ca 40.08 Ca.upf
Zr 91.22 Zr.upf
Co 58.93 Co.upf
CELL_PARAMETERS angstrom
0.000 3.480 3.480
3.480 0.000 3.480
3.480 3.480 0.000
ATOMIC_POSITIONS crystal
Ca 0.000 0.000 0.000
Zr 0.250 0.250 0.250
Zr 0.500 0.500 0.500
Co 0.750 0.750 0.750
```

---

No. 19
# Zr2BiPd

A relaxed Zr2BiPd crystal (PBE, the Alexandria database). Values from VASP.

Results
Calculated total energy ... -55.6 eV per cell

Quantum ESPRESSO input file:
```
&SYSTEM
  ibrav = 0, nat = 8, ntyp = 3
/
ATOMIC_SPECIES
Zr 91.22 Zr.upf
Bi 208.98 Bi.upf
Pd 106.42 Pd.upf
CELL_PARAMETERS angstrom
5.823 0.000 0.000
0.000 4.164 0.000
-2.793 0.000 7.415
ATOMIC_POSITIONS crystal
Zr 0.176 0.250 0.415
Zr 0.249 0.750 0.065
Zr 0.751 0.250 0.935
Zr 0.824 0.750 0.585
Bi 0.389 0.750 0.705
Bi 0.611 0.250 0.295
Pd 0.134 0.250 0.812
Pd 0.866 0.750 0.188
```

---

No. 20
# Ba2MgAsO6

A relaxed Ba2MgAsO6 crystal (PBE, the Alexandria database). Values from VASP.

Results
E_form (uncorrected) ... -2124 meV per atom
Calculated total energy ... -122.2 eV per cell

Quantum ESPRESSO input file:
```
&SYSTEM
  ibrav = 0, nat = 20, ntyp = 4
/
ATOMIC_SPECIES
Ba 137.33 Ba.upf
Mg 24.30 Mg.upf
As 74.92 As.upf
O 16.00 O.upf
CELL_PARAMETERS angstrom
2.890 1.668 9.670
-2.890 1.668 9.670
0.000 -3.337 9.670
ATOMIC_POSITIONS crystal
Ba 0.124 0.124 0.124
Ba 0.289 0.289 0.289
Ba 0.711 0.711 0.711
Ba 0.876 0.876 0.876
Mg 0.000 0.000 0.000
Mg 0.500 0.500 0.500
As 0.410 0.410 0.410
As 0.590 0.590 0.590
O 0.154 0.599 0.599
O 0.219 0.219 0.688
O 0.219 0.688 0.219
O 0.312 0.781 0.781
O 0.401 0.401 0.846
O 0.401 0.846 0.401
O 0.599 0.154 0.599
O 0.599 0.599 0.154
O 0.688 0.219 0.219
O 0.781 0.312 0.781
O 0.781 0.781 0.312
O 0.846 0.401 0.401
```

---

No. 21
# Tb2ScTi

A relaxed Tb2ScTi crystal (PBE, the Alexandria database). Values from VASP.

Results
Energy relative to the lowest polymorph listed for this composition ... 0.182 eV/f.u.
Calculated total energy ... -22.6 eV per cell

Quantum ESPRESSO input file:
```
&SYSTEM
  ibrav = 0, nat = 4, ntyp = 3
/
ATOMIC_SPECIES
Tb 158.93 Tb.upf
Sc 44.96 Sc.upf
Ti 47.87 Ti.upf
CELL_PARAMETERS angstrom
0.000 3.736 3.736
3.736 0.000 3.736
3.736 3.736 0.000
ATOMIC_POSITIONS crystal
Tb 0.250 0.250 0.250
Tb 0.750 0.750 0.750
Sc 0.000 0.000 0.000
Ti 0.500 0.500 0.500
```

---

No. 22
# ReAu2Br

A relaxed ReAu2Br crystal (PBE, the Alexandria database). Values from VASP.

Results
Energy relative to the lowest polymorph listed for this composition ... 0.000 eV/f.u.
E_form (uncorrected) ... 507 meV per atom
Calculated total energy ... -18.6 eV per cell

Quantum ESPRESSO input file:
```
&SYSTEM
  ibrav = 0, nat = 4, ntyp = 3
/
ATOMIC_SPECIES
Re 186.21 Re.upf
Au 196.97 Au.upf
Br 79.90 Br.upf
CELL_PARAMETERS angstrom
1.516 0.875 9.477
-1.516 0.875 9.477
0.000 -1.751 9.477
ATOMIC_POSITIONS crystal
Re 0.000 0.000 0.000
Au 0.257 0.257 0.257
Au 0.510 0.510 0.510
Br 0.734 0.734 0.734
```

---

No. 23
# Al2FeSbAu

A relaxed Al2FeSbAu crystal (PBE, the Alexandria database). Values from VASP.

Results
E_form (uncorrected) ... 481 meV per atom
Calculated total energy ... -20.9 eV per cell

Quantum ESPRESSO input file:
```
&SYSTEM
  ibrav = 0, nat = 5, ntyp = 4
/
ATOMIC_SPECIES
Al 26.98 Al.upf
Fe 55.84 Fe.upf
Sb 121.76 Sb.upf
Au 196.97 Au.upf
CELL_PARAMETERS angstrom
4.789 0.000 0.000
0.000 4.789 0.000
0.000 0.000 4.980
ATOMIC_POSITIONS crystal
Al 0.000 0.500 0.000
Al 0.500 0.000 0.000
Fe 0.000 0.000 0.500
Sb 0.500 0.500 0.500
Au 0.000 0.000 0.000
```

---

No. 24
# Rb3ThPb2S6

A relaxed Rb3ThPb2S6 crystal (PBE, the Alexandria database). Values from VASP.

Results
E_form (uncorrected) ... -1148 meV per atom
Calculated total energy ... -56.3 eV per cell

Quantum ESPRESSO input file:
```
&SYSTEM
  ibrav = 0, nat = 12, ntyp = 4
/
ATOMIC_SPECIES
Rb 85.47 Rb.upf
Th 232.04 Th.upf
Pb 207.20 Pb.upf
S 32.06 S.upf
CELL_PARAMETERS angstrom
3.695 -6.396 0.000
3.695 6.396 0.000
-2.453 0.000 7.710
ATOMIC_POSITIONS crystal
Rb 0.000 0.000 0.000
Rb 0.327 0.673 0.000
Rb 0.673 0.327 0.000
Th 0.500 0.500 0.500
Pb 0.166 0.834 0.500
Pb 0.834 0.166 0.500
S 0.115 0.433 0.299
S 0.250 0.250 0.702
S 0.433 0.115 0.299
S 0.567 0.885 0.701
S 0.750 0.750 0.298
S 0.885 0.567 0.701
```